First-principles (GGA-PBEsol) data for a geometry-optimized La3CuSiSe7 structure, as listed in Alexandria.

```
La3CuSiSe7
1.0
10.616 0.000 0.000
-5.308 9.194 0.000
0.000 0.000 6.036
La Cu Si Se
6 2 2 14
Direct
0.128 0.356 0.000
0.228 0.872 0.000
0.356 0.228 0.500
0.644 0.772 0.000
0.772 0.128 0.500
0.872 0.644 0.500
0.000 0.000 0.475
0.000 0.000 0.975
0.333 0.667 0.586
0.667 0.333 0.086
0.091 0.253 0.488
0.105 0.583 0.731
0.163 0.909 0.488
0.253 0.163 0.988
0.333 0.667 0.212
0.417 0.522 0.731
0.478 0.895 0.731
0.522 0.105 0.231
0.583 0.478 0.231
0.667 0.333 0.712
0.747 0.837 0.488
0.837 0.091 0.988
0.895 0.417 0.231
0.909 0.747 0.988
```

Summary:
- Crystal system: hexagonal
- Symmetry: P6_3, No. 173
- Energy: -5.890 eV per atom
- Uncorrected formation energy: -1467 meV/atom